[1]
PmDy6Y | PBE-GGA | optimized geometry

The energy relative to the elements comes out at 0.022 eV per atom. The calculation puts the excess energy over the best structure of this formula in the dataset at 0 meV per atom. The value obtained for the density of states at the Fermi level is 12.1 states/eV/cell. The total energy is -38.65 eV/cell. As for the space group: No. 123.

abc: 5.038 5.038 10.065
angles: 90.00 90.00 90.00
Element x y z (fractional)
Pm  0.000  0.000  0.000
Dy  0.000  0.500  0.251
Dy  0.000  0.500  0.749
Dy  0.500  0.000  0.251
Dy  0.500  0.000  0.749
Dy  0.500  0.500  0.000
Dy  0.500  0.500  0.500
Y  0.000  0.000  0.500


[2]
V2CoCuBr | PBE-GGA | optimized geometry

The value obtained for the density of states at the Fermi level is 7.9 states/eV/cell. The total energy is -23.79 eV/cell. As for the space group: No. 123.

abc: 4.496 4.496 4.385
angles: 90.00 90.00 90.00
Element x y z (fractional)
V  0.000  0.500  0.000
V  0.500  0.000  0.000
Co  0.000  0.000  0.500
Cu  0.500  0.500  0.500
Br  0.500  0.500  0.000


[3]
Cs2Mn2Zn | PBE-GGA | optimized geometry

The energy relative to the elements comes out at 0.928 eV per atom. The calculation puts the excess energy over the best structure of this formula in the dataset at 0 meV per atom. The value obtained for the density of states at the Fermi level is 5.9 states/eV/cell. The total energy is -16.68 eV/cell. As for the space group: No. 139.

abc: 6.405 6.405 6.405
angles: 111.32 111.32 105.83
Element x y z (fractional)
Cs  0.250  0.750  0.500
Cs  0.750  0.250  0.500
Mn  0.162  0.162  0.000
Mn  0.838  0.838  0.000
Zn  0.500  0.500  0.000


[4]
Sc3Zn4Ga4 | PBE-GGA | optimized geometry

The energy relative to the elements comes out at -0.421 eV per atom. The value obtained for the density of states at the Fermi level is 5.7 states/eV/cell. The total energy is -40.83 eV/cell. As for the space group: No. 2.

abc: 3.316 4.319 13.588
angles: 81.20 83.01 89.99
Element x y z (fractional)
Sc  0.000  0.000  0.000
Sc  0.141  0.637  0.718
Sc  0.859  0.363  0.282
Zn  0.262  0.265  0.477
Zn  0.409  0.910  0.185
Zn  0.591  0.090  0.815
Zn  0.738  0.735  0.523
Ga  0.315  0.820  0.368
Ga  0.453  0.453  0.095
Ga  0.547  0.547  0.905
Ga  0.685  0.180  0.632


[5]
PrYTmTl | PBE-GGA | optimized geometry

The energy relative to the elements comes out at -0.181 eV per atom. The calculation puts the excess energy over the best structure of this formula in the dataset at 0 meV per atom. The value obtained for the density of states at the Fermi level is 5.5 states/eV/cell. The total energy is -18.81 eV/cell. As for the space group: No. 47.

abc: 4.845 4.917 4.954
angles: 90.00 90.00 90.00
Element x y z (fractional)
Pr  0.000  0.000  0.000
Y  0.500  0.000  0.500
Tm  0.500  0.500  0.000
Tl  0.000  0.500  0.500


[6]
SrCd2GaHg4 | PBE-GGA | optimized geometry

The energy relative to the elements comes out at -0.188 eV per atom. The value obtained for the density of states at the Fermi level is 2.6 states/eV/cell. The total energy is -9.25 eV/cell. As for the space group: No. 166.

abc: 9.761 9.761 9.761
angles: 29.91 29.91 29.91
Element x y z (fractional)
Sr  0.000  0.000  0.000
Cd  0.246  0.246  0.246
Cd  0.754  0.754  0.754
Ga  0.500  0.500  0.500
Hg  0.131  0.131  0.131
Hg  0.390  0.390  0.390
Hg  0.610  0.610  0.610
Hg  0.869  0.869  0.869


Copy entry 2 word for word.
V2CoCuBr | PBE-GGA | optimized geometry

The value obtained for the density of states at the Fermi level is 7.9 states/eV/cell. The total energy is -23.79 eV/cell. As for the space group: No. 123.

abc: 4.496 4.496 4.385
angles: 90.00 90.00 90.00
Element x y z (fractional)
V  0.000  0.500  0.000
V  0.500  0.000  0.000
Co  0.000  0.000  0.500
Cu  0.500  0.500  0.500
Br  0.500  0.500  0.000